P.
Below is a geometry-optimized LaTe2Pt structure, with properties calculated at the PBE level.

Computed properties:
Its total magnetic moment is 0.00 μB/cell. The density of states at the Fermi level is 2.285 states/eV/f.u. The volume comes out at 100 Å³/cell.

Geometry as POSCAR:
```
LaTe2Pt
1.0
4.973 0.000 0.000
0.000 4.972 0.000
0.000 0.000 4.044
La Pt Te
1 1 2
Direct
0.500 0.000 0.500
0.000 0.500 0.500
0.000 0.000 0.000
0.500 0.500 0.000
```

***

Q.
Below is a geometry-optimized LaTe2Pt structure, with properties calculated at the PBE level.

Computed properties:
Its total magnetic moment is 0.00 μB/cell. The density of states at the Fermi level is 2.610 states/eV/f.u. The volume comes out at 105 Å³/cell.

Geometry as POSCAR:
```
LaTe2Pt
1.0
6.255 -0.009 0.000
3.166 5.394 0.000
-4.710 -2.693 3.112
La Pt Te
1 1 2
Direct
0.250 0.750 0.500
0.750 0.250 0.500
0.000 0.000 0.000
0.500 0.500 0.000
```

***

Short version: P, Q, most stable first.

***

P.
Below is a geometry-optimized LaTe2Pt structure, with properties calculated at the PBE level.

Computed properties:
Its total magnetic moment is 0.00 μB/cell. The density of states at the Fermi level is 4.893 states/eV/f.u. The volume comes out at 112 Å³/cell.

Geometry as POSCAR:
```
LaTe2Pt
1.0
6.627 -0.024 -0.015
5.041 4.302 -0.015
5.041 1.848 3.885
La Pt Te
1 1 2
Direct
0.250 0.250 0.250
0.750 0.750 0.750
0.015 0.015 0.015
0.485 0.485 0.485
```

***

Q.
Below is a geometry-optimized LaTe2Pt structure, with properties calculated at the PBE level.

Computed properties:
Its total magnetic moment is 0.00 μB/cell. The density of states at the Fermi level is 5.949 states/eV/f.u. The volume comes out at 104 Å³/cell.

Geometry as POSCAR:
```
LaTe2Pt
1.0
0.000 3.728 3.728
3.728 0.000 3.728
3.728 3.728 0.000
Te Pt La
2 1 1
Direct
0.250 0.250 0.250
0.750 0.750 0.750
0.500 0.500 0.500
0.000 0.000 0.000
```

***

Short version: P, Q, most stable first.

***

P.
Below is a geometry-optimized LaTe2Pt structure, with properties calculated at the PBE level.

Computed properties:
Its total magnetic moment is 0.00 μB/cell. The density of states at the Fermi level is 5.844 states/eV/f.u. The volume comes out at 107 Å³/cell.

Geometry as POSCAR:
```
LaTe2Pt
1.0
-4.008 1.075 0.134
-1.066 -4.005 0.261
0.295 0.326 6.204
La Pt Te
1 1 2
Direct
0.500 0.500 0.250
0.500 0.500 0.750
0.000 0.000 0.992
0.000 0.000 0.508
```

***

Q.
Below is a geometry-optimized LaTe2Pt structure, with properties calculated at the PBE level.

Computed properties:
Its total magnetic moment is 0.00 μB/cell. The density of states at the Fermi level is 1.131 states/eV/f.u. The volume comes out at 222 Å³/cell.

Geometry as POSCAR:
```
LaTe2Pt
1.0
-2.763 3.094 -6.826
1.571 -6.875 -3.752
-3.793 -3.042 -4.517
Te Pt La
4 2 2
Direct
0.691 0.125 0.250
0.059 0.625 0.250
0.375 0.309 0.750
0.875 0.941 0.750
0.000 0.000 0.000
0.750 0.250 0.500
0.500 0.500 0.000
0.250 0.750 0.500
```

***

R.
Below is a geometry-optimized LaTe2Pt structure, with properties calculated at the PBE level.

Computed properties:
Its total magnetic moment is 0.00 μB/cell. The density of states at the Fermi level is 1.662 states/eV/f.u. The volume comes out at 110 Å³/cell.

Geometry as POSCAR:
```
LaTe2Pt
1.0
4.119 0.000 0.000
0.000 4.119 0.000
0.000 0.000 6.506
La Pt Te
1 1 2
Direct
0.000 0.000 0.463
0.500 0.500 0.842
0.000 0.000 0.919
0.500 0.500 0.276
```

***

Short version: Q, R, P, most stable first.

***

P.
Below is a geometry-optimized LaTe3Pt structure, with properties calculated at the PBE level.

Computed properties:
Its total magnetic moment is 0.00 μB/cell. The density of states at the Fermi level is 2.967 states/eV/f.u. The volume comes out at 152 Å³/cell.

Geometry as POSCAR:
```
LaTe3Pt
1.0
-1.004 -4.553 2.600
0.006 -2.648 -4.635
5.243 -0.869 0.504
Te Pt La
3 1 1
Direct
0.000 0.500 0.000
0.000 0.000 0.500
0.500 0.000 0.000
0.000 0.000 0.000
0.500 0.500 0.500
```

***

Q.
Below is a geometry-optimized LaTe3Pt structure, with properties calculated at the PBE level.

Computed properties:
Its total magnetic moment is 1.80 μB/cell. The density of states at the Fermi level is 9.863 states/eV/f.u. The volume comes out at 224 Å³/cell.

Geometry as POSCAR:
```
LaTe3Pt
1.0
6.071 0.000 0.000
0.000 6.071 0.000
0.000 0.000 6.071
Te Pt La
3 1 1
Direct
0.000 0.500 0.000
0.000 0.000 0.500
0.500 0.000 0.000
0.500 0.500 0.500
0.000 0.000 0.000
```

***

Short version: P, Q, most stable first.

***

P.
Below is a geometry-optimized LaTePt3 structure, with properties calculated at the PBE level.

Computed properties:
Its total magnetic moment is 0.00 μB/cell. The density of states at the Fermi level is 4.037 states/eV/f.u. The volume comes out at 142 Å³/cell.

Geometry as POSCAR:
```
LaTePt3
1.0
5.219 0.000 0.000
0.000 5.219 0.000
0.000 0.000 5.219
Te Pt La
1 3 1
Direct
0.500 0.500 0.500
0.000 0.500 0.000
0.000 0.000 0.500
0.500 0.000 0.000
0.000 0.000 0.000
```

***

Q.
Below is a geometry-optimized LaTePt3 structure, with properties calculated at the PBE level.

Computed properties:
Its total magnetic moment is 0.00 μB/cell. The density of states at the Fermi level is 3.230 states/eV/f.u. The volume comes out at 126 Å³/cell.

Geometry as POSCAR:
```
LaTePt3
1.0
5.013 0.000 0.000
0.000 5.013 0.000
0.000 0.000 5.013
Te Pt La
1 3 1
Direct
0.000 0.000 0.000
0.000 0.500 0.000
0.000 0.000 0.500
0.500 0.000 0.000
0.500 0.500 0.500
```

***

Short version: Q, P, most stable first.

***

P.
Below is a geometry-optimized LaTiPt3 structure, with properties calculated at the PBE level.

Computed properties:
Its total magnetic moment is 1.50 μB/cell. The density of states at the Fermi level is 6.679 states/eV/f.u. The volume comes out at 140 Å³/cell.

Geometry as POSCAR:
```
LaTiPt3
1.0
5.190 0.000 0.000
0.000 5.190 0.000
0.000 0.000 5.190
Ti Pt La
1 3 1
Direct
0.500 0.500 0.500
0.000 0.500 0.000
0.000 0.000 0.500
0.500 0.000 0.000
0.000 0.000 0.000
```

***

Q.
Below is a geometry-optimized LaTiPt3 structure, with properties calculated at the PBE level.

Computed properties:
Its total magnetic moment is 0.00 μB/cell. The density of states at the Fermi level is 2.387 states/eV/f.u. The volume comes out at 111 Å³/cell.

Geometry as POSCAR:
```
LaTiPt3
1.0
4.808 0.000 0.000
0.000 4.808 0.000
0.000 0.000 4.808
Ti Pt La
1 3 1
Direct
0.000 0.000 0.000
0.000 0.500 0.000
0.000 0.000 0.500
0.500 0.000 0.000
0.500 0.500 0.500
```

***

Short version: Q, P, most stable first.

***

P.
Below is a geometry-optimized LaTiPt2 structure, with properties calculated at the PBE level.

Computed properties:
Its total magnetic moment is 0.00 μB/cell. The density of states at the Fermi level is 4.695 states/eV/f.u. The volume comes out at 207 Å³/cell.

Geometry as POSCAR:
```
LaTiPt2
1.0
-2.783 -1.196 -4.040
4.165 -0.054 -2.853
1.710 -8.526 -1.810
Ti Pt La
2 4 2
Direct
0.500 0.500 0.000
0.250 0.750 0.500
0.463 0.125 0.250
0.287 0.625 0.250
0.375 0.537 0.750
0.875 0.713 0.750
0.000 0.000 0.000
0.750 0.250 0.500
```

***

Q.
Below is a geometry-optimized LaTiPt2 structure, with properties calculated at the PBE level.

Computed properties:
Its total magnetic moment is 0.00 μB/cell. The density of states at the Fermi level is 2.123 states/eV/f.u. The volume comes out at 79 Å³/cell.

Geometry as POSCAR:
```
LaTiPt2
1.0
-1.731 2.264 -1.545
-1.700 0.546 2.705
4.959 5.202 2.065
Ti Pt La
1 2 1
Direct
0.500 0.500 0.000
0.000 0.000 0.807
0.000 0.000 0.193
0.500 0.500 0.500
```

***

Short version: Q, P, most stable first.

***

P.
Below is a geometry-optimized LaTi3Pt structure, with properties calculated at the PBE level.

Computed properties:
Its total magnetic moment is 0.90 μB/cell. The density of states at the Fermi level is 3.968 states/eV/f.u. The volume comes out at 119 Å³/cell.

Geometry as POSCAR:
```
LaTi3Pt
1.0
4.915 0.000 0.000
0.000 4.915 0.000
0.000 0.000 4.915
Ti Pt La
3 1 1
Direct
0.000 0.500 0.000
0.000 0.000 0.500
0.500 0.000 0.000
0.000 0.000 0.000
0.500 0.500 0.500
```

***

Q.
Below is a geometry-optimized LaTi3Pt structure, with properties calculated at the PBE level.

Computed properties:
Its total magnetic moment is 0.00 μB/cell. The density of states at the Fermi level is 7.440 states/eV/f.u. The volume comes out at 103 Å³/cell.

Geometry as POSCAR:
```
LaTi3Pt
1.0
-2.559 -3.666 1.430
1.711 -2.572 -3.534
3.544 -1.405 2.739
Ti Pt La
3 1 1
Direct
0.000 0.500 0.000
0.000 0.000 0.500
0.500 0.000 0.000
0.500 0.500 0.500
0.000 0.000 0.000
```

***

Short version: P, Q, most stable first.

***

P.
Below is a geometry-optimized LaTlPt3 structure, with properties calculated at the PBE level.

Computed properties:
Its total magnetic moment is 0.00 μB/cell. The density of states at the Fermi level is 8.099 states/eV/f.u. The volume comes out at 152 Å³/cell.

Geometry as POSCAR:
```
LaTlPt3
1.0
5.334 0.000 0.000
0.000 5.334 0.000
0.000 0.000 5.334
Tl Pt La
1 3 1
Direct
0.500 0.500 0.500
0.000 0.500 0.000
0.000 0.000 0.500
0.500 0.000 0.000
0.000 0.000 0.000
```

***

Q.
Below is a geometry-optimized LaTlPt3 structure, with properties calculated at the PBE level.

Computed properties:
Its total magnetic moment is 0.00 μB/cell. The density of states at the Fermi level is 2.446 states/eV/f.u. The volume comes out at 130 Å³/cell.

Geometry as POSCAR:
```
LaTlPt3
1.0
5.064 0.000 0.000
0.000 5.064 0.000
0.000 0.000 5.064
Tl Pt La
1 3 1
Direct
0.000 0.000 0.000
0.000 0.500 0.000
0.000 0.000 0.500
0.500 0.000 0.000
0.500 0.500 0.500
```

***

Short version: Q, P, most stable first.

***

P.
Below is a geometry-optimized La3TlPt structure, with properties calculated at the PBE level.

Computed properties:
Its total magnetic moment is 0.00 μB/cell. The density of states at the Fermi level is 4.637 states/eV/f.u. The volume comes out at 326 Å³/cell.

Geometry as POSCAR:
```
La3TlPt
1.0
5.865 -0.007 0.005
-2.936 6.378 -0.440
0.007 -3.176 8.929
La Tl Pt
6 2 2
Direct
0.376 0.752 0.097
0.155 0.311 0.632
0.888 0.777 0.762
0.112 0.223 0.238
0.624 0.248 0.903
0.845 0.689 0.368
0.604 0.209 0.447
0.396 0.791 0.553
0.869 0.738 0.067
0.131 0.262 0.933
```

***

Q.
Below is a geometry-optimized La3TlPt structure, with properties calculated at the PBE level.

Computed properties:
Its total magnetic moment is 0.00 μB/cell. The density of states at the Fermi level is 10.253 states/eV/f.u. The volume comes out at 183 Å³/cell.

Geometry as POSCAR:
```
La3TlPt
1.0
5.677 0.000 0.000
0.000 5.677 0.000
0.000 0.000 5.677
Tl Pt La
1 1 3
Direct
0.500 0.500 0.500
0.000 0.000 0.000
0.000 0.500 0.000
0.000 0.000 0.500
0.500 0.000 0.000
```

***

Short version: P, Q, most stable first.

***

P.
Below is a geometry-optimized LaTl2Pt2 structure, with properties calculated at the PBE level.

Computed properties:
Its total magnetic moment is 0.81 μB/cell. The density of states at the Fermi level is 3.936 states/eV/f.u. The volume comes out at 230 Å³/cell.

Geometry as POSCAR:
```
LaTl2Pt2
1.0
-6.425 -4.795 -2.114
-0.895 -2.292 7.918
-2.083 2.567 0.508
Tl Pt La
4 4 2
Direct
0.374 0.874 0.000
0.874 0.626 0.000
0.626 0.126 0.000
0.126 0.374 0.000
0.177 0.677 0.500
0.677 0.823 0.500
0.823 0.323 0.500
0.323 0.177 0.500
0.000 0.000 0.000
0.500 0.500 0.000
```

***

Q.
Below is a geometry-optimized LaTl2Pt2 structure, with properties calculated at the PBE level.

Computed properties:
Its total magnetic moment is 0.00 μB/cell. The density of states at the Fermi level is 2.169 states/eV/f.u. The volume comes out at 121 Å³/cell.

Geometry as POSCAR:
```
LaTl2Pt2
1.0
4.298 0.000 0.000
0.000 4.298 0.000
2.149 2.149 6.569
Tl Pt La
2 2 1
Direct
0.750 0.250 0.500
0.250 0.750 0.500
0.402 0.402 0.197
0.598 0.598 0.803
0.000 0.000 0.000
```

***

Short version: Q, P, most stable first.

***

P.
Below is a geometry-optimized LaTl2Pt2 structure, with properties calculated at the PBE level.

Computed properties:
Its total magnetic moment is 0.00 μB/cell. The density of states at the Fermi level is 4.466 states/eV/f.u. The volume comes out at 243 Å³/cell.

Geometry as POSCAR:
```
LaTl2Pt2
1.0
-6.182 4.110 0.619
-1.261 -0.797 -7.298
-2.331 -3.627 0.799
Tl Pt La
4 4 2
Direct
0.168 0.668 0.500
0.668 0.832 0.500
0.832 0.332 0.500
0.332 0.168 0.500
0.371 0.871 0.000
0.871 0.629 0.000
0.629 0.129 0.000
0.129 0.371 0.000
0.000 0.000 0.000
0.500 0.500 0.000
```

***

Q.
Below is a geometry-optimized LaTl2Pt2 structure, with properties calculated at the PBE level.

Computed properties:
Its total magnetic moment is 0.00 μB/cell. The density of states at the Fermi level is 3.134 states/eV/f.u. The volume comes out at 125 Å³/cell.

Geometry as POSCAR:
```
LaTl2Pt2
1.0
5.092 0.000 0.000
0.000 5.092 0.000
2.546 2.546 4.833
Tl Pt La
2 2 1
Direct
0.353 0.353 0.293
0.647 0.647 0.707
0.750 0.250 0.500
0.250 0.750 0.500
0.000 0.000 0.000
```

***

Short version: P, Q, most stable first.

***

P.
Below is a geometry-optimized La2Tl2Pt structure, with properties calculated at the PBE level.

Computed properties:
Its total magnetic moment is 0.00 μB/cell. The density of states at the Fermi level is 4.042 states/eV/f.u. The volume comes out at 316 Å³/cell.

Geometry as POSCAR:
```
La2Tl2Pt
1.0
-5.612 1.046 5.088
-3.808 -5.922 -2.983
2.500 -3.342 3.444
Tl Pt La
4 2 4
Direct
0.151 0.651 0.500
0.651 0.849 0.500
0.849 0.349 0.500
0.349 0.151 0.500
0.000 0.000 0.000
0.500 0.500 0.000
0.335 0.835 0.000
0.835 0.665 0.000
0.665 0.165 0.000
0.165 0.335 0.000
```

***

Q.
Below is a geometry-optimized La2Tl2Pt structure, with properties calculated at the PBE level.

Computed properties:
Its total magnetic moment is 0.00 μB/cell. The density of states at the Fermi level is 4.077 states/eV/f.u. The volume comes out at 281 Å³/cell.

Geometry as POSCAR:
```
La2Tl2Pt
1.0
7.597 0.000 0.000
0.000 7.597 0.000
0.000 0.000 4.869
Tl Pt La
4 2 4
Direct
0.357 0.857 0.000
0.857 0.643 0.000
0.643 0.143 0.000
0.143 0.357 0.000
0.000 0.000 0.000
0.500 0.500 0.000
0.164 0.664 0.500
0.664 0.836 0.500
0.836 0.336 0.500
0.336 0.164 0.500
```

***

Short version: Q, P, most stable first.